First-principles (PBE) data for a relaxed Ba3In2P4 crystal, as listed in Alexandria via LeMat-Bulk.

```
18
Lattice="8.940 -0.004 0.000 2.213 8.662 0.000 0.015 0.011 7.179" Properties=species:S:1:pos:R:3 pbc="T T T"
Ba 4.922 5.195 5.385
Ba 6.246 3.474 1.795
Ba 1.705 6.476 0.335
Ba 4.464 8.618 3.255
Ba 9.462 2.194 6.845
Ba 6.704 0.052 3.925
In 4.142 1.514 6.564
In 8.681 5.038 4.205
In 7.026 7.155 0.616
In 2.486 3.631 2.975
P 7.923 4.965 6.694
P 4.400 2.230 4.076
P 3.244 3.704 0.486
P 6.767 6.439 3.104
P 2.101 6.150 3.770
P 4.696 8.164 7.000
P 6.471 0.506 0.180
P 9.066 2.520 3.410
```

Calculated values
uncorrected energy: -4.445 eV per atom
relative energy among the computed polymorphs: 0 meV per atom
M_tot: 0.000 μB/atom
space-group type: C2/c
formation energy: -687 kJ/mol of formula units